! Rb3PaSn2S6, relaxed, DFT PBE; values from VASP
! Final energy   -4.92 eV per atom
! ΔE_f (raw)   -13.9 eV/f.u.
&SYSTEM
  ibrav = 0, nat = 12, ntyp = 4
/
ATOMIC_SPECIES
S 32.06 S.upf
Sn 118.71 Sn.upf
Rb 85.47 Rb.upf
Pa 231.04 Pa.upf
ATOMIC_POSITIONS crystal
S 0.6294 0.9359 0.8076
S 0.7594 0.7594 0.1947
S 0.3706 0.0641 0.1924
S 0.9359 0.6294 0.8076
S 0.2406 0.2406 0.8053
S 0.0641 0.3706 0.1924
Sn 0.6655 0.3345 0.0000
Sn 0.3345 0.6655 0.0000
Rb 0.1748 0.8252 0.5000
Rb 0.8252 0.1748 0.5000
Rb 0.5000 0.5000 0.5000
Pa 0.0000 0.0000 0.0000
CELL_PARAMETERS angstrom
7.3529 0.0036 0.0031
-3.6715 6.3707 0.0031
-1.2248 -2.1208 7.5212

***

! RbMgBr2Cl, relaxed, DFT PBE; values from VASP
! Final energy   -3.22 eV per atom
! ΔE_f (raw)   -8.3 eV/f.u.
! Density of states at the Fermi level   0.00 states/eV/cell
&SYSTEM
  ibrav = 0, nat = 10, ntyp = 4
/
ATOMIC_SPECIES
Br 79.90 Br.upf
Cl 35.45 Cl.upf
Rb 85.47 Rb.upf
Mg 24.30 Mg.upf
ATOMIC_POSITIONS crystal
Br 0.7500 0.9058 0.6425
Br 0.2500 0.0942 0.3575
Br 0.7500 0.8404 0.0450
Br 0.2500 0.1596 0.9550
Cl 0.7500 0.4117 0.2752
Cl 0.2500 0.5883 0.7248
Rb 0.7500 0.3114 0.6539
Rb 0.2500 0.6886 0.3461
Mg 0.2500 0.8544 0.8279
Mg 0.7500 0.1456 0.1721
CELL_PARAMETERS angstrom
-0.6623 2.4900 -3.2609
-8.8372 -0.4509 1.4504
2.2338 6.9388 4.8446

***

! Li2MgAs, relaxed, DFT PBE; values from VASP
! Final energy   -2.83 eV per atom
! Density of states at the Fermi level   1.85 states/eV/cell
&SYSTEM
  ibrav = 0, nat = 4, ntyp = 3
/
ATOMIC_SPECIES
Li 6.94 Li.upf
As 74.92 As.upf
Mg 24.30 Mg.upf
ATOMIC_POSITIONS crystal
Li 0.0000 0.0000 0.5400
Li 0.0000 0.0000 0.9600
As 0.5000 0.5000 0.7500
Mg 0.5000 0.5000 0.2500
CELL_PARAMETERS angstrom
3.3960 0.0304 0.0000
-0.0310 3.3960 0.0000
0.0000 0.0000 6.1346

***

! Cr2TcNi, relaxed, DFT PBE; values from VASP
! Final energy   -8.17 eV per atom
! Density of states at the Fermi level   11.59 states/eV/cell
&SYSTEM
  ibrav = 0, nat = 8, ntyp = 3
/
ATOMIC_SPECIES
Tc 98.00 Tc.upf
Cr 52.00 Cr.upf
Ni 58.69 Ni.upf
ATOMIC_POSITIONS crystal
Tc 0.7500 0.2500 0.5000
Tc 0.0000 0.0000 0.0000
Cr 0.8750 0.8752 0.7500
Cr 0.1248 0.6250 0.2500
Cr 0.3750 0.3748 0.7500
Cr 0.6252 0.1250 0.2500
Ni 0.2500 0.7500 0.5000
Ni 0.5000 0.5000 0.0000
CELL_PARAMETERS angstrom
-5.2828 3.5496 1.2608
-3.7562 -4.8003 -2.2239
-4.6296 -1.6111 1.8321

***

! In7SnBi2, relaxed, DFT PBE; values from VASP
! Final energy   -3.04 eV per atom
! Density of states at the Fermi level   4.03 states/eV/cell
&SYSTEM
  ibrav = 0, nat = 10, ntyp = 3
/
ATOMIC_SPECIES
In 114.82 In.upf
Sn 118.71 Sn.upf
Bi 208.98 Bi.upf
ATOMIC_POSITIONS crystal
In 0.2879 0.8256 0.7119
In 0.8167 0.5785 0.8592
In 0.1024 0.1933 0.5464
In 0.1833 0.4215 0.1408
In 0.7121 0.1744 0.2881
In 0.8976 0.8067 0.4536
In 0.5000 0.5000 0.5000
Sn 0.0000 0.0000 0.0000
Bi 0.4773 0.2573 0.8252
Bi 0.5227 0.7427 0.1748
CELL_PARAMETERS angstrom
4.3308 0.6516 0.6184
0.7887 7.4289 -0.1517
0.6000 1.1286 9.4417

***

! ZnHg2Pd, relaxed, DFT PBE; values from VASP
! Final energy   -1.67 eV per atom
! Density of states at the Fermi level   2.69 states/eV/cell
&SYSTEM
  ibrav = 0, nat = 8, ntyp = 3
/
ATOMIC_SPECIES
Pd 106.42 Pd.upf
Hg 200.59 Hg.upf
Zn 65.41 Zn.upf
ATOMIC_POSITIONS crystal
Pd 0.7500 0.2500 0.5000
Pd 0.0000 0.0000 0.0000
Hg 0.8750 0.8672 0.7500
Hg 0.6172 0.1250 0.2500
Hg 0.3750 0.3828 0.7500
Hg 0.1328 0.6250 0.2500
Zn 0.5000 0.5000 0.0000
Zn 0.2500 0.7500 0.5000
CELL_PARAMETERS angstrom
-1.1998 -0.2289 -7.4966
-5.2200 -5.4258 1.0011
-5.2056 -0.8595 -2.9884

***

! ScMnRe2, relaxed, DFT PBE; values from VASP
! Final energy   -9.86 eV per atom
! Density of states at the Fermi level   4.10 states/eV/cell
&SYSTEM
  ibrav = 0, nat = 4, ntyp = 3
/
ATOMIC_SPECIES
Re 186.21 Re.upf
Mn 54.94 Mn.upf
Sc 44.96 Sc.upf
ATOMIC_POSITIONS crystal
Re 0.0004 0.0004 0.0004
Re 0.2554 0.2554 0.2554
Mn 0.7466 0.7466 0.7466
Sc 0.4976 0.4976 0.4976
CELL_PARAMETERS angstrom
-8.5445 -1.6922 -2.8049
-8.3960 -3.5752 -0.6815
-9.1076 -0.8775 -0.1412

***

! LiMnBr2, relaxed, DFT PBE; values from VASP
! Final energy   -4.20 eV per atom
! ΔE_f (raw)   -2.4 eV/f.u.
! Density of states at the Fermi level   2.03 states/eV/cell
&SYSTEM
  ibrav = 0, nat = 4, ntyp = 3
/
ATOMIC_SPECIES
Mn 54.94 Mn.upf
Br 79.90 Br.upf
Li 6.94 Li.upf
ATOMIC_POSITIONS crystal
Mn 0.5000 0.9483 0.8753
Br 0.5000 0.2889 0.3221
Br 0.0000 0.8325 0.8503
Li 0.0000 0.4302 0.4523
CELL_PARAMETERS angstrom
5.3725 0.0000 0.0000
0.0000 3.7634 -0.0749
0.0000 0.9791 4.5150

***

! SmIrBr, relaxed, DFT PBE; values from VASP
! Final energy   -6.34 eV per atom
! ΔE_f (raw)   -3.8 eV/f.u.
! Density of states at the Fermi level   2.85 states/eV/cell
&SYSTEM
  ibrav = 0, nat = 6, ntyp = 3
/
ATOMIC_SPECIES
Ir 192.22 Ir.upf
Sm 150.36 Sm.upf
Br 79.90 Br.upf
ATOMIC_POSITIONS crystal
Ir 0.6666 0.6666 0.5041
Ir 0.3334 0.3334 0.4959
Sm 0.0066 0.0066 0.3309
Sm 0.9934 0.9934 0.6691
Br 0.3207 0.3207 0.8344
Br 0.6793 0.6793 0.1656
CELL_PARAMETERS angstrom
4.3100 0.0000 -0.0208
2.1532 3.7336 -0.0208
0.2985 0.1724 11.0788

***

! KTc2Te, relaxed, DFT PBE; values from VASP
! Final energy   -5.08 eV per atom
! ΔE_f (raw)   4.7 eV/f.u.
! Density of states at the Fermi level   3.98 states/eV/cell
&SYSTEM
  ibrav = 0, nat = 4, ntyp = 3
/
ATOMIC_SPECIES
Tc 98.00 Tc.upf
Te 127.60 Te.upf
K 39.10 K.upf
ATOMIC_POSITIONS crystal
Tc 0.0000 0.0000 0.4531
Tc 0.0000 0.0000 0.0469
Te 0.5000 0.5000 0.2500
K 0.5000 0.5000 0.7500
CELL_PARAMETERS angstrom
3.1031 -0.0050 0.0000
-1.3680 2.7853 0.0000
0.0000 0.0000 9.8795

***

! CaBiMo3, relaxed, DFT PBE; values from VASP
! Final energy   -5.21 eV per atom
! Density of states at the Fermi level   8.90 states/eV/cell
&SYSTEM
  ibrav = 0, nat = 5, ntyp = 3
/
ATOMIC_SPECIES
Mo 95.94 Mo.upf
Bi 208.98 Bi.upf
Ca 40.08 Ca.upf
ATOMIC_POSITIONS crystal
Mo 0.5000 0.0000 0.0000
Mo 0.0000 0.5000 0.0000
Mo 0.0000 0.0000 0.5000
Bi 0.5000 0.5000 0.5000
Ca 0.0000 0.0000 0.0000
CELL_PARAMETERS angstrom
4.7831 0.0000 0.0000
0.0000 4.7831 0.0000
0.0000 0.0000 4.7831